! KSr2Cr | the Alexandria database | PBE | optimized geometry; values from VASP
&SYSTEM
  ibrav = 0, nat = 8, ntyp = 3
/
ATOMIC_SPECIES
K 39.10 K.upf
Sr 87.62 Sr.upf
Cr 52.00 Cr.upf
CELL_PARAMETERS angstrom
4.419 0.000 0.000
0.000 6.706 0.000
0.000 0.000 12.602
ATOMIC_POSITIONS angstrom
K 0.000 0.000 0.000
K 2.209 3.353 6.301
Sr 0.000 3.353 2.586
Sr 0.000 3.353 10.016
Sr 2.209 0.000 3.715
Sr 2.209 0.000 8.887
Cr 0.000 0.000 6.301
Cr 2.209 3.353 0.000
! Space group: Immm, No. 71
! Total magnetic moment (μB/f.u.): 4.7
! Energy (eV per formula unit): -11.82
! Energy of formation from the pure elements (eV/atom): 0.567